Record 1
DFT (GGA-PBEsol) results for a relaxed Cr2WO6 crystal.

## Properties
The space-group type is P4_2/mnm, No. 136. The value obtained for the formation energy from raw total energies is -2.03 eV per atom. The value obtained for the calculated total energy is -0.343 hartree per atom.

Cell: 4.566 4.566 8.811 Å, 90.00 90.00 90.00°
Fractional coordinates of all 18 atoms:
1 Cr 0.000 0.000 0.167
2 Cr 0.000 0.000 0.833
3 Cr 0.500 0.500 0.333
4 Cr 0.500 0.500 0.667
5 W 0.000 0.000 0.500
6 W 0.500 0.500 0.000
7 O 0.197 0.197 0.000
8 O 0.199 0.199 0.338
9 O 0.199 0.199 0.662
10 O 0.301 0.699 0.162
11 O 0.301 0.699 0.838
12 O 0.303 0.697 0.500
13 O 0.697 0.303 0.500
14 O 0.699 0.301 0.162
15 O 0.699 0.301 0.838
16 O 0.801 0.801 0.338
17 O 0.801 0.801 0.662
18 O 0.803 0.803 0.000



Record 2
DFT (GGA-PBEsol) results for a relaxed TbSbPd crystal.

## Properties
The space-group type is P6_3mc, No. 186. The value obtained for the formation energy from raw total energies is -1.12 eV per atom. The value obtained for the calculated total energy is -0.231 hartree per atom.

Cell: 4.545 4.545 7.297 Å, 90.00 90.00 120.00°
Fractional coordinates of all 6 atoms:
1 Tb 0.000 0.000 0.000
2 Tb 0.000 0.000 0.500
3 Sb 0.333 0.667 0.228
4 Sb 0.667 0.333 0.728
5 Pd 0.333 0.667 0.831
6 Pd 0.667 0.333 0.331



Record 3
DFT (GGA-PBEsol) results for a relaxed Al2Ni crystal.

## Properties
The space-group type is C2/m, No. 12. The value obtained for the calculated total energy is -0.189 hartree per atom. The calculation puts the energy relative to the elements at -0.365 eV/atom.

Cell: 5.250 5.250 5.784 Å, 105.10 105.10 31.28°
Fractional coordinates of all 6 atoms:
1 Al 0.020 0.020 0.265
2 Al 0.300 0.300 0.339
3 Al 0.700 0.700 0.661
4 Al 0.980 0.980 0.735
5 Ni 0.359 0.359 0.963
6 Ni 0.641 0.641 0.037



Record 4
DFT (GGA-PBEsol) results for a relaxed KMnSn3O8 crystal.

## Properties
The space-group type is Pc, No. 7. The value obtained for the formation energy from raw total energies is -1.67 eV per atom. The value obtained for the calculated total energy is -0.247 hartree per atom.

Cell: 10.258 3.205 14.631 Å, 90.00 134.39 90.00°
Fractional coordinates of all 26 atoms:
1 K 0.000 0.175 0.000
2 K 0.000 0.825 0.500
3 Mn 0.824 0.251 0.139
4 Mn 0.824 0.749 0.639
5 Sn 0.177 0.275 0.834
6 Sn 0.177 0.725 0.334
7 Sn 0.507 0.259 0.335
8 Sn 0.507 0.741 0.835
9 Sn 0.527 0.229 0.653
10 Sn 0.527 0.771 0.153
11 O 0.037 0.222 0.327
12 O 0.037 0.778 0.827
13 O 0.310 0.228 0.336
14 O 0.310 0.772 0.836
15 O 0.369 0.273 0.030
16 O 0.369 0.727 0.530
17 O 0.372 0.238 0.700
18 O 0.372 0.762 0.200
19 O 0.650 0.242 0.955
20 O 0.650 0.758 0.455
21 O 0.661 0.269 0.288
22 O 0.661 0.731 0.788
23 O 0.710 0.216 0.641
24 O 0.710 0.784 0.141
25 O 0.962 0.334 0.640
26 O 0.962 0.666 0.140



Record 5
DFT (GGA-PBEsol) results for a relaxed InTcCl2 crystal.

## Properties
The space-group type is P4/mmm, No. 123. The value obtained for the formation energy from raw total energies is 0.46 eV per atom. The calculation puts the energy relative to the lowest polymorph listed for this composition at 647.1 meV per atom. The value obtained for the calculated total energy is -0.151 hartree per atom.

Cell: 5.058 5.058 3.286 Å, 90.00 90.00 90.00°
Fractional coordinates of all 4 atoms:
1 In 0.000 0.000 0.000
2 Tc 0.500 0.500 0.000
3 Cl 0.000 0.500 0.500
4 Cl 0.500 0.000 0.500



Record 6
DFT (GGA-PBEsol) results for a relaxed KYTiIr2 crystal.

## Properties
The space-group type is P4/mmm, No. 123. The value obtained for the calculated total energy is -0.205 hartree per atom. The calculation puts the energy relative to the elements at 1.606 eV/atom.

Cell: 4.944 4.944 5.032 Å, 90.00 90.00 90.00°
Fractional coordinates of all 5 atoms:
1 K 0.000 0.000 0.000
2 Y 0.000 0.000 0.500
3 Ti 0.500 0.500 0.000
4 Ir 0.000 0.500 0.500
5 Ir 0.500 0.000 0.500



Record 7
DFT (GGA-PBEsol) results for a relaxed BiSbSN2 crystal.

## Properties
The space-group type is P4/mmm, No. 123. The value obtained for the formation energy from raw total energies is 0.85 eV per atom. The calculation puts the energy relative to the lowest polymorph listed for this composition at 0.0 meV per atom. The value obtained for the calculated total energy is -0.191 hartree per atom.

Cell: 4.084 4.084 4.996 Å, 90.00 90.00 90.00°
Fractional coordinates of all 5 atoms:
1 Bi 0.000 0.000 0.000
2 Sb 0.500 0.500 0.500
3 S 0.500 0.500 0.000
4 N 0.000 0.500 0.500
5 N 0.500 0.000 0.500



Record 8
DFT (GGA-PBEsol) results for a relaxed YFeRe2 crystal.

## Properties
The space-group type is Pm, No. 6. The value obtained for the calculated total energy is -0.377 hartree per atom. The calculation puts the energy relative to the elements at 0.354 eV/atom.

Cell: 2.818 4.218 5.701 Å, 90.00 102.70 90.00°
Fractional coordinates of all 4 atoms:
1 Y 0.000 0.000 0.000
2 Fe 0.724 0.500 0.281
3 Re 0.251 0.500 0.684
4 Re 0.512 0.000 0.502



Record 9
DFT (GGA-PBEsol) results for a relaxed Li2SiPb crystal.

## Properties
The space-group type is R-3m, No. 166. The value obtained for the formation energy from raw total energies is -0.01 eV per atom. The calculation puts the energy relative to the lowest polymorph listed for this composition at 99.0 meV per atom. The value obtained for the calculated total energy is -0.126 hartree per atom.

Cell: 9.179 9.179 9.179 Å, 19.75 19.75 19.75°
Fractional coordinates of all 4 atoms:
1 Li 0.241 0.241 0.241
2 Li 0.759 0.759 0.759
3 Si 0.500 0.500 0.500
4 Pb 0.000 0.000 0.000



Record 10
DFT (GGA-PBEsol) results for a relaxed CsNb2BBr crystal.

## Properties
The space-group type is P4/mmm, No. 123. The value obtained for the formation energy from raw total energies is 2.10 eV per atom. The value obtained for the calculated total energy is -0.154 hartree per atom.

Cell: 4.795 4.795 6.369 Å, 90.00 90.00 90.00°
Fractional coordinates of all 5 atoms:
1 Cs 0.000 0.000 0.000
2 Nb 0.000 0.500 0.500
3 Nb 0.500 0.000 0.500
4 B 0.500 0.500 0.000
5 Br 0.000 0.000 0.500



Record 11
DFT (GGA-PBEsol) results for a relaxed ZrCdHg2 crystal.

## Properties
The space-group type is Pm, No. 6. The value obtained for the calculated total energy is -0.110 hartree per atom. The calculation puts the energy relative to the elements at -0.135 eV/atom.

Cell: 3.064 4.573 6.108 Å, 90.00 104.42 90.00°
Fractional coordinates of all 4 atoms:
1 Zr 0.000 0.000 0.000
2 Cd 0.647 0.500 0.292
3 Hg 0.253 0.000 0.504
4 Hg 0.399 0.500 0.798



Record 12
DFT (GGA-PBEsol) results for a relaxed Na2HfP crystal.

## Properties
The space-group type is I-42d, No. 122. The value obtained for the calculated total energy is -0.176 hartree per atom. The calculation puts the energy relative to the elements at -0.029 eV/atom.

Cell: 11.983 11.983 11.983 Å, 162.01 162.01 25.55°
Fractional coordinates of all 8 atoms:
1 Na 0.108 0.625 0.983
2 Na 0.375 0.358 0.483
3 Na 0.642 0.125 0.017
4 Na 0.875 0.892 0.517
5 Hf 0.250 0.750 0.500
6 Hf 0.500 0.500 0.000
7 P 0.000 0.000 0.000
8 P 0.750 0.250 0.500



Record 13
DFT (GGA-PBEsol) results for a relaxed Na2FeAsCO7 crystal.

## Properties
The space-group type is P2_1/m, No. 11. The value obtained for the formation energy from raw total energies is -1.48 eV per atom. The value obtained for the calculated total energy is -0.248 hartree per atom.

Cell: 5.288 6.726 9.039 Å, 90.00 91.30 90.00°
Fractional coordinates of all 24 atoms:
1 Na 0.233 0.003 0.284
2 Na 0.233 0.497 0.284
3 Na 0.767 0.503 0.716
4 Na 0.767 0.997 0.716
5 Fe 0.212 0.750 0.854
6 Fe 0.788 0.250 0.146
7 As 0.285 0.250 0.926
8 As 0.715 0.750 0.074
9 C 0.272 0.750 0.578
10 C 0.728 0.250 0.422
11 O 0.047 0.750 0.633
12 O 0.154 0.250 0.098
13 O 0.196 0.045 0.828
14 O 0.196 0.455 0.828
15 O 0.316 0.750 0.442
16 O 0.389 0.750 0.047
17 O 0.455 0.750 0.680
18 O 0.545 0.250 0.320
19 O 0.611 0.250 0.953
20 O 0.684 0.250 0.558
21 O 0.804 0.545 0.172
22 O 0.804 0.955 0.172
23 O 0.846 0.750 0.902
24 O 0.953 0.250 0.367



Record 14
DFT (GGA-PBEsol) results for a relaxed Li2Pb crystal.

## Properties
The space-group type is I4_1/amd, No. 141. The value obtained for the calculated total energy is -0.108 hartree per atom. The calculation puts the energy relative to the elements at -0.282 eV/atom.

Cell: 13.304 13.304 13.304 Å, 161.42 161.42 26.39°
Fractional coordinates of all 12 atoms:
1 Li 0.037 0.787 0.250
2 Li 0.122 0.372 0.750
3 Li 0.213 0.963 0.250
4 Li 0.372 0.122 0.250
5 Li 0.628 0.878 0.750
6 Li 0.787 0.037 0.750
7 Li 0.878 0.628 0.250
8 Li 0.963 0.213 0.750
9 Pb 0.296 0.546 0.750
10 Pb 0.454 0.704 0.750
11 Pb 0.546 0.296 0.250
12 Pb 0.704 0.454 0.250



Record 15
DFT (GGA-PBEsol) results for a relaxed SrTaRu2 crystal.

## Properties
The space-group type is Pmm2, No. 25. The calculation puts the energy relative to the lowest polymorph listed for this composition at 53.2 meV per atom. The value obtained for the calculated total energy is -0.300 hartree per atom. The calculation puts the energy relative to the elements at 0.515 eV/atom.

Cell: 2.878 3.666 7.585 Å, 90.00 90.00 90.00°
Fractional coordinates of all 4 atoms:
1 Sr 0.000 0.000 0.000
2 Ta 0.500 0.500 0.359
3 Ru 0.000 0.000 0.548
4 Ru 0.500 0.500 0.689



Record 16
DFT (GGA-PBEsol) results for a relaxed Si2HgRu crystal.

## Properties
The space-group type is P4/mmm, No. 123. The value obtained for the formation energy from raw total energies is 0.36 eV per atom. The value obtained for the calculated total energy is -0.191 hartree per atom.

Cell: 4.445 4.445 3.068 Å, 90.00 90.00 90.00°
Fractional coordinates of all 4 atoms:
1 Si 0.000 0.500 0.000
2 Si 0.500 0.000 0.000
3 Hg 0.000 0.000 0.500
4 Ru 0.500 0.500 0.500



Record 17
DFT (GGA-PBEsol) results for a relaxed LaSc2Mn crystal.

## Properties
The space-group type is Cm, No. 8. The calculation puts the energy relative to the lowest polymorph listed for this composition at 110.1 meV per atom. The value obtained for the calculated total energy is -0.252 hartree per atom. The calculation puts the energy relative to the elements at 0.218 eV/atom.

Cell: 5.823 5.823 5.085 Å, 115.86 115.86 34.02°
Fractional coordinates of all 4 atoms:
1 La 0.000 0.000 0.000
2 Sc 0.604 0.604 0.604
3 Sc 0.802 0.802 0.302
4 Mn 0.306 0.306 0.805



Record 18
DFT (GGA-PBEsol) results for a relaxed Ag2HgBiAu crystal.

## Properties
The space-group type is P4/mmm, No. 123. The value obtained for the calculated total energy is -0.081 hartree per atom. The calculation puts the energy relative to the elements at 0.872 eV/atom.

Cell: 5.053 5.053 5.501 Å, 90.00 90.00 90.00°
Fractional coordinates of all 5 atoms:
1 Ag 0.000 0.500 0.000
2 Ag 0.500 0.000 0.000
3 Hg 0.000 0.000 0.000
4 Bi 0.000 0.000 0.500
5 Au 0.500 0.500 0.500



Record 19
DFT (GGA-PBEsol) results for a relaxed In2Ag2GeSe6 crystal.

## Properties
The space-group type is Cc, No. 9. The value obtained for the formation energy from raw total energies is -0.33 eV per atom. The value obtained for the calculated total energy is -0.148 hartree per atom.

Cell: 7.348 7.348 12.599 Å, 107.08 107.08 61.17°
Fractional coordinates of all 22 atoms:
1 In 0.066 0.934 0.500
2 In 0.716 0.918 0.198
3 In 0.918 0.716 0.698
4 In 0.934 0.066 0.000
5 Ag 0.251 0.439 0.015
6 Ag 0.419 0.849 0.838
7 Ag 0.439 0.251 0.515
8 Ag 0.849 0.419 0.338
9 Ge 0.303 0.831 0.261
10 Ge 0.831 0.303 0.761
11 Se 0.069 0.580 0.511
12 Se 0.115 0.629 0.217
13 Se 0.140 0.158 0.203
14 Se 0.158 0.140 0.703
15 Se 0.187 0.711 0.890
16 Se 0.418 0.881 0.457
17 Se 0.580 0.069 0.011
18 Se 0.595 0.620 0.169
19 Se 0.620 0.595 0.669
20 Se 0.629 0.115 0.717
21 Se 0.711 0.187 0.390
22 Se 0.881 0.418 0.957



Record 20
DFT (GGA-PBEsol) results for a relaxed SrMg2Se crystal.

## Properties
The space-group type is P4/mmm, No. 123. The value obtained for the formation energy from raw total energies is -0.48 eV per atom. The value obtained for the calculated total energy is -0.101 hartree per atom.

Cell: 3.584 3.584 8.218 Å, 90.00 90.00 90.00°
Fractional coordinates of all 4 atoms:
1 Sr 0.000 0.000 0.000
2 Mg 0.500 0.500 0.317
3 Mg 0.500 0.500 0.683
4 Se 0.000 0.000 0.500



Record 21
DFT (GGA-PBEsol) results for a relaxed La2TlCd crystal.

## Properties
The space-group type is Fm-3m, No. 225. The calculation puts the energy relative to the lowest polymorph listed for this composition at 0.0 meV per atom. The value obtained for the calculated total energy is -0.148 hartree per atom. The calculation puts the energy relative to the elements at -0.396 eV/atom.

Cell: 5.495 5.495 5.495 Å, 60.00 60.00 60.00°
Fractional coordinates of all 4 atoms:
1 La 0.250 0.250 0.250
2 La 0.750 0.750 0.750
3 Tl 0.000 0.000 0.000
4 Cd 0.500 0.500 0.500



Record 22
DFT (GGA-PBEsol) results for a relaxed BaCa2Ru crystal.

## Properties
The space-group type is Fm-3m, No. 225. The value obtained for the calculated total energy is -0.135 hartree per atom. The calculation puts the energy relative to the elements at 0.479 eV/atom.

Cell: 5.331 5.331 5.331 Å, 60.00 60.00 60.00°
Fractional coordinates of all 4 atoms:
1 Ba 0.000 0.000 0.000
2 Ca 0.250 0.250 0.250
3 Ca 0.750 0.750 0.750
4 Ru 0.500 0.500 0.500



Record 23
DFT (GGA-PBEsol) results for a relaxed Li2BeCuTc crystal.

## Properties
The space-group type is P4/mmm, No. 123. The value obtained for the calculated total energy is -0.143 hartree per atom. The calculation puts the energy relative to the elements at 0.806 eV/atom.

Cell: 3.973 3.973 4.177 Å, 90.00 90.00 90.00°
Fractional coordinates of all 5 atoms:
1 Li 0.000 0.500 0.000
2 Li 0.500 0.000 0.000
3 Be 0.000 0.000 0.000
4 Cu 0.500 0.500 0.500
5 Tc 0.000 0.000 0.500